Entry 1:
Here is TiGaF2 after structural relaxation from the Alexandria database. Energies are from PBE.

Unit cell a=2.7886 b=2.7886 c=27.8110 alpha=90.00 beta=90.00 gamma=120.00
Space group R-3m (No. 166, hexagonal axes)
Symmetry-distinct sites (fractional):
Ti (0.0000, 0.0000, 0.0000) [3 per cell]
Ga (0.0000, 0.0000, 0.5000) [3 per cell]
F (0.0000, 0.0000, 0.3833) [6 per cell]

Values from the calculation:
As for the energy above the most stable polymorph in this dataset: 0.000 eV/f.u.

=====

Entry 2:
Here is Zr7P6 after structural relaxation from the Alexandria database. Energies are from PBE.

Unit cell a=6.0415 b=6.0415 c=26.7511 alpha=90.00 beta=90.00 gamma=120.00
Space group R-3m (No. 166, hexagonal axes)
Symmetry-distinct sites (fractional):
Zr (0.0000, 0.0000, 0.0000) [3 per cell]
Zr (0.0008, 0.5004, 0.4289) [18 per cell]
P (0.0000, 0.0000, 0.1671) [6 per cell]
P (0.0000, 0.0000, 0.3132) [6 per cell]
P (0.0000, 0.0000, 0.4546) [6 per cell]

Values from the calculation:
The value obtained for the raw total energy is -96.9 eV per formula unit.

=====

Entry 3:
Here is CuRe2Ir after structural relaxation from the Alexandria database. Energies are from PBE.

Unit cell a=6.1327 b=6.1327 c=6.1327 alpha=90.00 beta=90.00 gamma=90.00
Space group Fm-3m (No. 225)
Symmetry-distinct sites (fractional):
Cu (0.0000, 0.0000, 0.0000) [4 per cell]
Re (0.2500, 0.2500, 0.2500) [8 per cell]
Ir (0.0000, 0.0000, 0.5000) [4 per cell]

Values from the calculation:
As for the energy above the most stable polymorph in this dataset: 1.749 eV/f.u.

=====

Entry 4:
Here is TcRu2Pt after structural relaxation from the Alexandria database. Energies are from PBE.

Unit cell a=3.3008 b=3.3008 c=5.4792 alpha=90.00 beta=90.00 gamma=90.00
Space group P4mm (No. 99)
Symmetry-distinct sites (fractional):
Tc (0.0000, 0.0000, 0.0000) [1 per cell]
Ru (0.0000, 0.0000, 0.5316) [1 per cell]
Ru (0.5000, 0.5000, 0.7678) [1 per cell]
Pt (0.5000, 0.5000, 0.2683) [1 per cell]

Values from the calculation:
As for the energy above the most stable polymorph in this dataset: 1.545 eV/f.u.

=====

| no. | spin magnetization (μB/f.u.) | density of states at the Fermi level (states/eV/atom) | calculated volume (Å³ per cell) |
| --- | --- | --- | --- |
| 1 | 0.00 | 0.36 | 187.3 |
| 2 | 0.00 | 0.69 | 845.6 |
| 3 | 0.00 | 1.61 | 230.7 |
| 4 | 0.68 | 1.44 | 59.7 |